{"formula": "ZrRePS2", "functional": "meta-GGA SCAN", "state": "single point on PBEsol structure", "sg": "P4/mmm, No. 123", "e_tot_ev_per_atom": -25.52, "dos_at_fermi_per_ev_atom": 0.63, "e_form_raw_mev_per_atom": 768, "lattice_angstrom": [[4.7787, 0.0000, 0.0000], [0.0000, 4.7787, 0.0000], [0.0000, 0.0000, 5.1383]], "species": ["Zr", "Re", "P", "S", "S"], "frac_coords": [[0.0000, 0.0000, 0.0000], [0.5000, 0.5000, 0.5000], [0.0000, 0.0000, 0.5000], [0.0000, 0.5000, 0.0000], [0.5000, 0.0000, 0.0000]]}

---

{"formula": "ReSbP4", "functional": "meta-GGA SCAN", "state": "single point on PBEsol structure", "sg": "F-43m, No. 216", "e_tot_ev_per_atom": -23.69, "dos_at_fermi_per_ev_atom": 0.85, "e_form_raw_mev_per_atom": 1303, "lattice_angstrom": [[0.0000, 3.5723, 3.5723], [3.5723, 0.0000, 3.5723], [3.5723, 3.5723, 0.0000]], "species": ["Re", "Sb", "P", "P", "P", "P"], "frac_coords": [[0.0000, 0.0000, 0.0000], [0.7500, 0.7500, 0.7500], [0.3749, 0.3749, 0.3749], [0.3749, 0.3749, 0.8754], [0.3749, 0.8754, 0.3749], [0.8754, 0.3749, 0.3749]]}

---

{"formula": "ReSbP", "functional": "meta-GGA SCAN", "state": "single point on PBEsol structure", "sg": "I4mm, No. 107", "e_tot_ev_per_atom": -39.38, "dos_at_fermi_per_ev_atom": 0.62, "e_form_raw_mev_per_atom": 207, "lattice_angstrom": [[3.0362, 0.0000, 0.0000], [0.0000, 3.0362, 0.0000], [0.0000, 0.0000, 11.8577]], "species": ["Re", "Re", "Sb", "Sb", "P", "P"], "frac_coords": [[0.0000, 0.0000, 0.0000], [0.5000, 0.5000, 0.5000], [0.0000, 0.0000, 0.6623], [0.5000, 0.5000, 0.1623], [0.0000, 0.0000, 0.3977], [0.5000, 0.5000, 0.8977]]}

---

{"formula": "ReSb2P", "functional": "meta-GGA SCAN", "state": "single point on PBEsol structure", "sg": "C2/m, No. 12", "e_tot_ev_per_atom": -38.13, "dos_at_fermi_per_ev_atom": 0.45, "e_form_raw_mev_per_atom": 878, "lattice_angstrom": [[6.2691, 0.0000, 0.0000], [0.0000, 7.4654, 0.0000], [-0.8040, 0.0000, 3.1897]], "species": ["Re", "Re", "Sb", "Sb", "Sb", "Sb", "P", "P"], "frac_coords": [[0.0000, 0.0000, 0.0000], [0.5000, 0.5000, 0.0000], [0.2500, 0.2500, 0.5000], [0.2500, 0.7500, 0.5000], [0.7500, 0.2500, 0.5000], [0.7500, 0.7500, 0.5000], [0.0000, 0.5000, 0.0000], [0.5000, 0.0000, 0.0000]]}